## AcDyZn2Ge2 (PBE)

Data for AcDyZn2Ge2 after structural relaxation.

Cell lengths 4.2670, 4.2670, 8.6697 Å; angles 90.00, 90.00, 120.00 degrees
Closest atoms and distances in Å follow each position.
Element x y z (fractional)
1 Ac 0.0000 0.0000 0.0000  6 Zn 3.38, 6 Ge 3.44
2 Dy 0.0000 0.0000 0.5000  6 Ge 3.13, 6 Zn 3.18
3 Ge 0.6667 0.3333 0.7231  3 Zn 2.46
4 Ge 0.3333 0.6667 0.2769  3 Zn 2.46
5 Zn 0.6667 0.3333 0.2676  3 Ge 2.46
6 Zn 0.3333 0.6667 0.7324  3 Ge 2.46

Properties
* Fermi-level density of states: 3.77 states/eV/cell
* density: 8.08 g cm⁻³
* uncorrected energy: -4.039 eV per atom